Tb6MgTc2 | GGA-PBE | optimized geometry

The space group is Immm (No. 71) and the conventional cell measures 9.6417, 9.6715 and 10.4383 Å, with angles of 90.00, 90.00 and 90.00 degrees. Symmetry generates all atoms from Tb at (0.0000, 0.2144, 0.2332), Tb at (0.2046, 0.5000, 0.1871), Tb at (0.2161, 0.3095, 0.5000), Mg at (0.0000, 0.0000, 0.0000), Mg at (0.0000, 0.0000, 0.5000), Tc at (0.0000, 0.3722, 0.0000) and Tc at (0.0000, 0.5000, 0.3855).

As for the energy of formation from the pure elements: -0.05 eV/atom. The value obtained for the total energy is -5.621 eV/atom.

=====

TbTmMgTc | GGA-PBE | optimized geometry

The space group is F-43m (No. 216) and the conventional cell measures 7.0854, 7.0854 and 7.0854 Å, with angles of 90.00, 90.00 and 90.00 degrees. Symmetry generates all atoms from Tb at (0.0000, 0.0000, 0.0000), Tm at (0.0000, 0.0000, 0.5000), Mg at (0.2500, 0.2500, 0.7500) and Tc at (0.2500, 0.2500, 0.2500).

As for the energy of formation from the pure elements: -0.02 eV/atom. The value obtained for the total energy is -5.289 eV/atom.

=====

> Which value of energy of formation from the pure elements does entry 1 give?

-0.05 eV/atom

=====

> Which of these has the lowest energy of formation from the pure elements?

Tb6MgTc2

=====

> Among the records above, which one has the lowest total energy?

Tb6MgTc2